No. 1
Material: LuAuNO
Method: DFT, PBE
State: optimized geometry

abc: 3.874 3.874 7.365
angles: 90.00 90.00 90.00
Fractional positions:
Au  0.750  0.250  0.500
Au  0.250  0.750  0.500
Lu  0.250  0.250  0.138
Lu  0.750  0.750  0.862
N  0.750  0.750  0.304
N  0.250  0.250  0.696
O  0.750  0.250  0.000
O  0.250  0.750  0.000

Computed properties:
* volume: 13.819 Å³/atom
* total moment: 2.17 μB/cell
* ΔE to the lowest computed polymorph: 132 meV/atom
* SG: P4/nmm (129)
* ρ: 12.1 g/cm3


No. 2
Material: Lu4AuSN2
Method: DFT, PBE
State: optimized geometry

abc: 3.482 3.482 13.172
angles: 90.00 90.00 120.00
Fractional positions:
Au  0.000  0.000  0.000
Lu  0.667  0.333  0.161
Lu  0.000  0.000  0.360
Lu  0.000  0.000  0.640
Lu  0.667  0.333  0.839
N  0.333  0.667  0.273
N  0.333  0.667  0.727
S  0.667  0.333  0.500

Computed properties:
* volume: 17.283 Å³/atom
* total energy: -6.8131 eV per atom
* total moment: 0.01 μB/cell
* SG: P-6m2 (187)
* ρ: 11.5 g/cm3


No. 3
Material: Lu4AuSN2
Method: DFT, PBE
State: optimized geometry

abc: 3.481 3.481 13.172
angles: 90.00 90.00 120.00
Fractional positions:
Au  0.667  0.333  0.500
Lu  0.667  0.333  0.140
Lu  0.000  0.000  0.339
Lu  0.000  0.000  0.661
Lu  0.667  0.333  0.860
N  0.333  0.667  0.227
N  0.333  0.667  0.773
S  0.000  0.000  0.000

Computed properties:
* volume: 17.283 Å³/atom
* total energy: -6.8131 eV per atom
* total moment: 0.01 μB/cell
* SG: P-6m2 (187)
* ρ: 11.5 g/cm3


No. 4
Material: Lu4Ta2Au3N3
Method: DFT, PBE
State: optimized geometry

abc: 5.765 5.765 14.341
angles: 101.69 101.69 60.29
Fractional positions:
Au  0.699  0.586  0.248
Au  0.129  0.871  0.250
Au  0.414  0.301  0.252
Au  0.586  0.699  0.748
Au  0.871  0.129  0.750
Au  0.301  0.414  0.752
Lu  0.698  0.876  0.100
Lu  0.039  0.195  0.100
Lu  0.805  0.961  0.400
Lu  0.124  0.302  0.400
Lu  0.876  0.698  0.600
Lu  0.195  0.039  0.600
Lu  0.961  0.805  0.900
Lu  0.302  0.124  0.900
N  0.664  0.173  0.000
N  0.000  0.500  0.000
N  0.336  0.827  0.000
N  0.173  0.664  0.500
N  0.500  0.000  0.500
N  0.827  0.336  0.500
Ta  0.354  0.525  0.072
Ta  0.475  0.646  0.428
Ta  0.525  0.354  0.572
Ta  0.646  0.475  0.928

Computed properties:
* volume: 16.770 Å³/atom
* total energy: -7.3848 eV per atom
* total moment: 0.01 μB/cell
* SG: C2/c (15)
* ρ: 14.0 g/cm3


No. 5
Material: Lu4W2Au3N3
Method: DFT, PBE
State: optimized geometry

abc: 5.736 5.736 14.126
angles: 101.72 101.72 60.67
Fractional positions:
Au  0.697  0.583  0.249
Au  0.136  0.864  0.250
Au  0.417  0.303  0.251
Au  0.583  0.697  0.749
Au  0.864  0.136  0.750
Au  0.303  0.417  0.751
Lu  0.039  0.196  0.101
Lu  0.697  0.875  0.101
Lu  0.125  0.303  0.399
Lu  0.804  0.961  0.399
Lu  0.196  0.039  0.601
Lu  0.875  0.697  0.601
Lu  0.303  0.125  0.899
Lu  0.961  0.804  0.899
N  0.000  0.500  0.000
N  0.668  0.166  0.000
N  0.834  0.332  0.500
N  0.500  0.000  0.500
N  0.166  0.668  0.500
N  0.332  0.834  0.000
W  0.354  0.521  0.065
W  0.479  0.646  0.435
W  0.521  0.354  0.565
W  0.646  0.479  0.935

Computed properties:
* volume: 16.409 Å³/atom
* total energy: -7.4089 eV per atom
* total moment: 0.01 μB/cell
* SG: C2/c (15)
* ρ: 14.3 g/cm3


No. 6
Material: Lu2W4Au3N3
Method: DFT, PBE
State: optimized geometry

abc: 5.614 5.614 13.524
angles: 101.69 101.69 60.55
Fractional positions:
Au  0.580  0.850  0.249
Au  0.009  0.991  0.250
Au  0.150  0.420  0.251
Au  0.850  0.580  0.749
Au  0.991  0.009  0.750
Au  0.420  0.150  0.751
Lu  0.538  0.378  0.115
Lu  0.622  0.462  0.385
Lu  0.378  0.538  0.615
Lu  0.462  0.622  0.885
N  0.500  0.000  0.000
N  0.802  0.348  0.000
N  0.652  0.198  0.500
N  0.000  0.500  0.500
N  0.348  0.802  0.500
N  0.198  0.652  0.000
W  0.181  0.038  0.071
W  0.866  0.694  0.071
W  0.306  0.134  0.429
W  0.962  0.819  0.429
W  0.038  0.181  0.571
W  0.694  0.866  0.571
W  0.134  0.306  0.929
W  0.819  0.962  0.929

Computed properties:
* volume: 15.031 Å³/atom
* total energy: -8.4383 eV per atom
* total moment: 0.00 μB/cell
* SG: C2/c (15)
* ρ: 15.8 g/cm3


No. 7
Material: Y2Lu4Au3N3
Method: DFT, PBE
State: optimized geometry

abc: 5.954 5.954 14.830
angles: 101.58 101.58 60.02
Fractional positions:
Au  0.181  0.416  0.250
Au  0.984  0.016  0.250
Au  0.584  0.819  0.250
Au  0.416  0.181  0.750
Au  0.016  0.984  0.750
Au  0.819  0.584  0.750
Lu  0.201  0.023  0.088
Lu  0.857  0.695  0.088
Lu  0.305  0.143  0.412
Lu  0.977  0.799  0.412
Lu  0.023  0.201  0.588
Lu  0.695  0.857  0.588
Lu  0.143  0.305  0.912
Lu  0.799  0.977  0.912
N  0.500  0.000  0.000
N  0.161  0.669  0.000
N  0.331  0.839  0.500
N  0.000  0.500  0.500
N  0.669  0.161  0.500
N  0.839  0.331  0.000
Y  0.535  0.372  0.107
Y  0.628  0.465  0.393
Y  0.372  0.535  0.607
Y  0.465  0.628  0.893

Computed properties:
* volume: 18.455 Å³/atom
* total energy: -6.6508 eV per atom
* total moment: 0.02 μB/cell
* SG: C2/c (15)
* ρ: 11.3 g/cm3


No. 8
Material: Lu2Zr4Au3N3
Method: DFT, PBE
State: optimized geometry

abc: 5.778 5.778 14.536
angles: 101.47 101.47 60.01
Fractional positions:
Au  0.415  0.174  0.249
Au  0.002  0.998  0.250
Au  0.826  0.585  0.251
Au  0.174  0.415  0.749
Au  0.998  0.002  0.750
Au  0.585  0.826  0.751
Lu  0.372  0.537  0.109
Lu  0.463  0.628  0.391
Lu  0.537  0.372  0.609
Lu  0.628  0.463  0.891
N  0.664  0.173  0.000
N  0.000  0.500  0.000
N  0.336  0.827  0.000
N  0.173  0.664  0.500
N  0.500  0.000  0.500
N  0.827  0.336  0.500
Zr  0.022  0.199  0.083
Zr  0.693  0.857  0.083
Zr  0.143  0.307  0.417
Zr  0.801  0.978  0.417
Zr  0.199  0.022  0.583
Zr  0.857  0.693  0.583
Zr  0.307  0.143  0.917
Zr  0.978  0.801  0.917

Computed properties:
* volume: 17.047 Å³/atom
* total energy: -7.6203 eV per atom
* total moment: 0.02 μB/cell
* SG: C2/c (15)
* ρ: 10.9 g/cm3


No. 9
Material: Lu4Zr2Au3N3
Method: DFT, PBE
State: optimized geometry

abc: 5.875 5.875 14.499
angles: 101.65 90.07 119.92
Fractional positions:
Au  0.584  0.529  0.250
Au  0.890  0.140  0.250
Au  0.280  0.834  0.250
Au  0.720  0.166  0.750
Au  0.110  0.860  0.750
Au  0.416  0.471  0.750
Lu  0.197  0.062  0.097
Lu  0.869  0.399  0.097
Lu  0.302  0.272  0.403
Lu  0.965  0.600  0.403
Lu  0.035  0.400  0.597
Lu  0.698  0.728  0.597
Lu  0.131  0.601  0.903
Lu  0.803  0.938  0.903
N  0.500  0.000  0.000
N  0.171  0.335  0.000
N  0.829  0.665  0.000
N  0.665  0.329  0.500
N  0.000  0.000  0.500
N  0.335  0.671  0.500
Zr  0.528  0.725  0.084
Zr  0.641  0.944  0.416
Zr  0.359  0.056  0.584
Zr  0.472  0.275  0.916

Computed properties:
* volume: 17.572 Å³/atom
* total energy: -6.9627 eV per atom
* total moment: 0.02 μB/cell
* SG: C2/c (15)
* ρ: 11.9 g/cm3


No. 10
Material: NaLuAuSe3
Method: DFT, PBE
State: optimized geometry

abc: 7.434 7.434 10.450
angles: 90.00 90.00 149.29
Fractional positions:
Au  0.532  0.468  0.250
Au  0.468  0.532  0.750
Lu  0.000  0.000  0.000
Lu  0.000  0.000  0.500
Na  0.233  0.767  0.250
Na  0.767  0.233  0.750
Se  0.637  0.363  0.051
Se  0.909  0.091  0.250
Se  0.637  0.363  0.449
Se  0.363  0.637  0.551
Se  0.091  0.909  0.750
Se  0.363  0.637  0.949

Computed properties:
* volume: 24.576 Å³/atom
* total energy: -4.2709 eV per atom
* total moment: 0.12 μB/cell
* SG: Cmcm (63)
* ρ: 7.1 g/cm3


No. 11
Material: NaLuTe3Au
Method: DFT, PBE
State: optimized geometry

abc: 7.957 7.957 11.061
angles: 90.00 90.00 150.07
Fractional positions:
Au  0.032  0.968  0.250
Au  0.968  0.032  0.750
Lu  0.500  0.500  0.000
Lu  0.500  0.500  0.500
Na  0.726  0.274  0.250
Na  0.274  0.726  0.750
Te  0.140  0.860  0.052
Te  0.409  0.591  0.250
Te  0.140  0.860  0.448
Te  0.860  0.140  0.552
Te  0.591  0.409  0.750
Te  0.860  0.140  0.948

Computed properties:
* volume: 29.117 Å³/atom
* total energy: -3.8995 eV per atom
* total moment: 0.02 μB/cell
* SG: Cmcm (63)
* ρ: 7.4 g/cm3


No. 12
Material: Lu2NbAu
Method: DFT, PBE
State: optimized geometry

abc: 4.933 4.933 4.933
angles: 60.00 60.00 60.00
Site moments in Bohr magnetons follow the coordinates.
Fractional positions:
Au  0.500  0.500  0.500  0.05
Lu  0.000  0.000  0.000  0.41
Lu  0.750  0.750  0.750  0.08
Nb  0.250  0.250  0.250  1.02

Computed properties:
* volume: 21.226 Å³/atom
* total moment: 1.80 μB/cell
* SG: F-43m (216)
* ΔH_f (0 K): 2.29 kcal/mol of atoms
* ρ: 12.5 g/cm3


No. 13
Material: LuNbAu2
Method: DFT, PBE
State: optimized geometry

abc: 4.766 4.766 4.766
angles: 60.00 60.00 60.00
Site moments in Bohr magnetons follow the coordinates.
Fractional positions:
Au  0.000  0.000  0.000  0.00
Au  0.750  0.750  0.750  0.07
Lu  0.250  0.250  0.250  0.40
Nb  0.500  0.500  0.500  1.45

Computed properties:
* volume: 19.136 Å³/atom
* total moment: 2.00 μB/cell
* SG: F-43m (216)
* ΔH_f (0 K): -1.42 kcal/mol of atoms
* ρ: 14.4 g/cm3


No. 14
Material: NdLuAu
Method: DFT, PBE
State: optimized geometry

abc: 4.860 4.860 4.860
angles: 60.00 60.00 60.00
Fractional positions:
Au  0.250  0.250  0.250
Lu  0.000  0.000  0.000
Nd  0.750  0.750  0.750

Computed properties:
* volume: 27.058 Å³/atom
* total moment: 0.01 μB/cell
* ΔE to the lowest computed polymorph: 0 meV/atom
* SG: F-43m (216)
* ΔH_f (0 K): 0.99 kcal/mol of atoms
* ρ: 10.6 g/cm3


No. 15
Material: LuNiSnAu
Method: DFT, PBE
State: optimized geometry

abc: 4.758 4.758 4.758
angles: 60.00 60.00 60.00
Fractional positions:
Au  0.500  0.500  0.500
Lu  0.250  0.250  0.250
Ni  0.750  0.750  0.750
Sn  0.000  0.000  0.000

Computed properties:
* volume: 19.041 Å³/atom
* total energy: -4.7060 eV per atom
* total moment: 0.01 μB/cell
* SG: F-43m (216)
* ρ: 12.0 g/cm3


No. 16
Material: LuTlNiAu
Method: DFT, PBE
State: optimized geometry

abc: 4.789 4.789 4.789
angles: 60.00 60.00 60.00
Fractional positions:
Au  0.500  0.500  0.500
Lu  0.250  0.250  0.250
Ni  0.750  0.750  0.750
Tl  0.000  0.000  0.000

Computed properties:
* volume: 19.413 Å³/atom
* total energy: -4.1614 eV per atom
* total moment: 0.01 μB/cell
* SG: F-43m (216)
* ρ: 13.6 g/cm3


No. 17
Material: LuZnNiAu
Method: DFT, PBE
State: optimized geometry

abc: 4.605 4.605 4.605
angles: 60.00 60.00 60.00
Fractional positions:
Au  0.500  0.500  0.500
Lu  0.250  0.250  0.250
Ni  0.750  0.750  0.750
Zn  0.000  0.000  0.000

Computed properties:
* volume: 17.264 Å³/atom
* total moment: 0.00 μB/cell
* SG: F-43m (216)
* ΔH_f (0 K): -8.11 kcal/mol of atoms
* ρ: 11.9 g/cm3


No. 18
Material: LuNpAu
Method: DFT, PBE
State: optimized geometry

abc: 4.774 4.774 4.774
angles: 60.00 60.00 60.00
Site moments in Bohr magnetons follow the coordinates.
Fractional positions:
Au  0.250  0.250  0.250  0.00
Lu  0.000  0.000  0.000  0.30
Np  0.750  0.750  0.750  4.09

Computed properties:
* volume: 25.639 Å³/atom
* total moment: 4.53 μB/cell
* SG: F-43m (216)
* ΔH_f (0 K): 12.55 kcal/mol of atoms
* ρ: 13.1 g/cm3


No. 19
Material: Lu2Au2O5
Method: DFT, PBE
State: optimized geometry

abc: 8.552 3.906 3.906
angles: 90.00 90.00 90.00
Site moments in Bohr magnetons follow the coordinates.
Fractional positions:
Au  0.000  0.000  0.000  0.40
Au  0.500  0.000  0.000  0.01
Lu  0.253  0.500  0.500  0.00
Lu  0.747  0.500  0.500  0.00
O  0.154  0.500  0.000  0.12
O  0.846  0.500  0.000  0.12
O  0.154  0.000  0.500  0.18
O  0.846  0.000  0.500  0.18
O  0.500  0.500  0.500  0.00

Computed properties:
* volume: 14.500 Å³/atom
* total moment: 1.11 μB/cell
* ΔE to the lowest computed polymorph: 0 meV/atom
* SG: P4/mmm (123)
* ρ: 10.5 g/cm3


No. 20
Material: Lu2Au2O5
Method: DFT, PBE
State: optimized geometry

abc: 6.920 4.156 4.156
angles: 90.00 90.00 90.00
Fractional positions:
Au  0.190  0.500  0.500
Au  0.810  0.500  0.500
Lu  0.000  0.000  0.000
Lu  0.500  0.000  0.000
O  0.222  0.500  0.000
O  0.778  0.500  0.000
O  0.222  0.000  0.500
O  0.778  0.000  0.500
O  0.500  0.500  0.500

Computed properties:
* volume: 13.277 Å³/atom
* total moment: 0.00 μB/cell
* ΔE to the lowest computed polymorph: 400 meV/atom
* SG: P4/mmm (123)
* ρ: 11.4 g/cm3


No. 21
Material: LuPAuO
Method: DFT, PBE
State: optimized geometry

abc: 3.965 3.965 8.398
angles: 90.00 90.00 90.00
Fractional positions:
Au  0.750  0.250  0.500
Au  0.250  0.750  0.500
Lu  0.250  0.250  0.118
Lu  0.750  0.750  0.882
O  0.750  0.250  0.000
O  0.250  0.750  0.000
P  0.750  0.750  0.304
P  0.250  0.250  0.696

Computed properties:
* volume: 16.508 Å³/atom
* total moment: 0.00 μB/cell
* ΔE to the lowest computed polymorph: 0 meV/atom
* SG: P4/nmm (129)
* ρ: 10.5 g/cm3